{
  "formula": "LiCoMo3",
  "functional": "SCAN",
  "state": "PBEsol geometry",
  "delta_e_f_mev_per_atom": 1401,
  "total_magnetization_mub_per_atom": 0.40,
  "sg": "No. 221",
  "lattice": [[4.082, 0.000, 0.000], [0.000, 4.082, 0.000], [0.000, 0.000, 4.082]],
  "species": ["Li", "Mo", "Mo", "Mo", "Co"],
  "frac_coords": [[0.000, 0.000, 0.000], [0.500, 0.000, 0.000], [0.000, 0.500, 0.000], [0.000, 0.000, 0.500], [0.500, 0.500, 0.500]]
}